# CaGaSe3

A relaxed CaGaSe3 crystal (GGA-PBEsol, Alexandria via LeMat-Bulk).

Calculated values
* V: 155.0 Å³/cell
* density of states at the Fermi level: 7.4 states/eV/f.u.
* total magnetization: 0.6 μB per formula unit
* energy relative to the elements, uncorrected: 6 meV/atom

Lattice parameters (Å, degrees): 5.3715 5.3715 5.3715 90.00 90.00 90.00
With the nearest neighbours (Å) after each atom.
Space group Pm-3m (No. 221)
Asymmetric unit:
Ca 0.0000 0.0000 0.0000 [1 per cell]  6 Se 2.69
Ga 0.5000 0.5000 0.5000 [1 per cell]  12 Se 3.80
Se 0.0000 0.0000 0.5000 [3 per cell]  2 Ca 2.69